(1)
# Ta2NiAu, relaxed, DFT PBE-GGA
data_Ta2NiAu
_chemical_formula_sum 'Ta4 Ni2 Au2'
_space_group_name_H-M_alt 'C m m m'
_space_group_IT_number 65
_space_group_name_Hall '-C 2 2'
_cell_length_a 5.580
_cell_length_b 8.169
_cell_length_c 2.837
_cell_angle_alpha 90.00
_cell_angle_beta 90.00
_cell_angle_gamma 90.00
loop_
_atom_site_label
_atom_site_fract_x
_atom_site_fract_y
_atom_site_fract_z
_atom_site_occupancy
Ta1 0.250 0.250 0.000 1
Ni1 0.000 0.000 0.500 1
Au1 0.000 0.500 0.500 1
# * distance to the lowest polymorph of the same formula: 109.3 meV per atom
# * calculated density: 15.856 Mg/m³
# * calculated formation energy: -35 meV per atom

(2)
# Ac3La5Pr3, relaxed, DFT PBE-GGA
data_Ac3La5Pr3
_chemical_formula_sum 'Ac3 La5 Pr3'
_space_group_name_H-M_alt 'P -6 2 m'
_space_group_IT_number 189
_space_group_name_Hall 'P -6 -2'
_cell_length_a 9.7728
_cell_length_b 9.7728
_cell_length_c 6.2006
_cell_angle_alpha 90.00
_cell_angle_beta 90.00
_cell_angle_gamma 120.00
loop_
_atom_site_label
_atom_site_fract_x
_atom_site_fract_y
_atom_site_fract_z
_atom_site_occupancy
Ac1 0.0000 0.4736 0.0000 1
La1 0.0000 0.3664 0.5000 1
La2 0.3333 0.6667 0.5000 1
Pr1 0.0000 0.7281 0.5000 1
# * calculated density: 5.822 Mg/m³
# * calculated formation energy: 586 meV per atom

(3)
# DyCdAgPt, relaxed, DFT PBE-GGA
data_DyCdAgPt
_chemical_formula_sum 'Dy4 Cd4 Ag4 Pt4'
_space_group_name_H-M_alt 'F -4 3 m'
_space_group_IT_number 216
_space_group_name_Hall 'F -4 2 3'
_cell_length_a 6.881
_cell_length_b 6.881
_cell_length_c 6.881
_cell_angle_alpha 90.00
_cell_angle_beta 90.00
_cell_angle_gamma 90.00
loop_
_atom_site_label
_atom_site_fract_x
_atom_site_fract_y
_atom_site_fract_z
_atom_site_occupancy
Dy1 0.000 0.000 0.000 1
Cd1 0.000 0.000 0.500 1
Ag1 0.250 0.250 0.250 1
Pt1 0.250 0.250 0.750 1
# * calculated density: 11.782 Mg/m³
# * calculated formation energy: -585 meV per atom

(4)
# AsPb2W, relaxed, DFT PBE-GGA
data_AsPb2W
_chemical_formula_sum 'As2 Pb4 W2'
_space_group_name_H-M_alt 'I m m 2'
_space_group_IT_number 44
_space_group_name_Hall 'I 2 -2'
_cell_length_a 3.318
_cell_length_b 4.623
_cell_length_c 12.964
_cell_angle_alpha 90.00
_cell_angle_beta 90.00
_cell_angle_gamma 90.00
loop_
_atom_site_label
_atom_site_fract_x
_atom_site_fract_y
_atom_site_fract_z
_atom_site_occupancy
As1 0.000 0.000 0.000 1
Pb1 0.000 0.000 0.624 1
Pb2 0.000 0.500 0.813 1
W1 0.000 0.500 0.354 1
# * calculated density: 11.242 Mg/m³
# * calculated formation energy: 554 meV per atom

(5)
# ZnPbW2, relaxed, DFT PBE-GGA
data_ZnPbW2
_chemical_formula_sum 'Zn2 Pb2 W4'
_space_group_name_H-M_alt 'C m m m'
_space_group_IT_number 65
_space_group_name_Hall '-C 2 2'
_cell_length_a 5.587
_cell_length_b 9.089
_cell_length_c 2.833
_cell_angle_alpha 90.00
_cell_angle_beta 90.00
_cell_angle_gamma 90.00
loop_
_atom_site_label
_atom_site_fract_x
_atom_site_fract_y
_atom_site_fract_z
_atom_site_occupancy
Zn1 0.000 0.000 0.000 1
Pb1 0.000 0.500 0.000 1
W1 0.250 0.250 0.500 1
# * distance to the lowest polymorph of the same formula: 504.3 meV per atom
# * calculated density: 14.782 Mg/m³
# * calculated formation energy: 1012 meV per atom

(6)
# TaBeRe2As, relaxed, DFT PBE-GGA
data_TaBeRe2As
_chemical_formula_sum 'Ta1 Be1 Re2 As1'
_space_group_name_H-M_alt 'P 4/m m m'
_space_group_IT_number 123
_space_group_name_Hall '-P 4 2'
_cell_length_a 4.384
_cell_length_b 4.384
_cell_length_c 3.935
_cell_angle_alpha 90.00
_cell_angle_beta 90.00
_cell_angle_gamma 90.00
loop_
_atom_site_label
_atom_site_fract_x
_atom_site_fract_y
_atom_site_fract_z
_atom_site_occupancy
Ta1 0.000 0.000 0.000 1
Be1 0.500 0.500 0.500 1
Re1 0.000 0.500 0.500 1
As1 0.500 0.500 0.000 1
# * calculated density: 13.996 Mg/m³
# * calculated formation energy: 841 meV per atom

(7)
# BaNaHf2, relaxed, DFT PBE-GGA
data_BaNaHf2
_chemical_formula_sum 'Ba4 Na4 Hf8'
_space_group_name_H-M_alt 'I -4 2 d'
_space_group_IT_number 122
_space_group_name_Hall 'I -4 2bw'
_cell_length_a 9.046
_cell_length_b 9.046
_cell_length_c 5.952
_cell_angle_alpha 90.00
_cell_angle_beta 90.00
_cell_angle_gamma 90.00
loop_
_atom_site_label
_atom_site_fract_x
_atom_site_fract_y
_atom_site_fract_z
_atom_site_occupancy
Ba1 0.000 0.000 0.000 1
Na1 0.000 0.000 0.500 1
Hf1 0.235 0.250 0.625 1
# * distance to the lowest polymorph of the same formula: 0.0 meV per atom
# * calculated density: 7.055 Mg/m³
# * calculated formation energy: 1171 meV per atom

(8)
# TlP2Br, relaxed, DFT PBE-GGA
data_TlP2Br
_chemical_formula_sum 'Tl3 P6 Br3'
_space_group_name_H-M_alt 'R 3 m'
_space_group_IT_number 160
_space_group_name_Hall 'R 3 -2"'
_cell_length_a 3.5311
_cell_length_b 3.5311
_cell_length_c 32.0989
_cell_angle_alpha 90.00
_cell_angle_beta 90.00
_cell_angle_gamma 120.00
loop_
_atom_site_label
_atom_site_fract_x
_atom_site_fract_y
_atom_site_fract_z
_atom_site_occupancy
Tl1 0.0000 0.0000 0.0000 1
P1 0.0000 0.0000 0.4872 1
P2 0.0000 0.0000 0.7835 1
Br1 0.0000 0.0000 0.2677 1
# * distance to the lowest polymorph of the same formula: 5.2 meV per atom
# * formation energy (no corrections): -0.11 eV per atom
# * calculated density: 4.976 Mg/m³

(9)
# Tl6SiAu8, relaxed, DFT PBE-GGA
data_Tl6SiAu8
_chemical_formula_sum 'Tl18 Si3 Au24'
_space_group_name_H-M_alt 'R -3'
_space_group_IT_number 148
_space_group_name_Hall '-R 3'
_cell_length_a 8.5910
_cell_length_b 8.5910
_cell_length_c 16.1387
_cell_angle_alpha 90.00
_cell_angle_beta 90.00
_cell_angle_gamma 120.00
loop_
_atom_site_label
_atom_site_fract_x
_atom_site_fract_y
_atom_site_fract_z
_atom_site_occupancy
Tl1 0.0289 0.2412 0.4105 1
Si1 0.0000 0.0000 0.0000 1
Au1 0.0000 0.0000 0.2224 1
Au2 0.0633 0.4656 0.5774 1
# * formation energy (no corrections): 0.02 eV per atom
# * calculated density: 13.667 Mg/m³

(10)
# KNaHo, relaxed, DFT PBE-GGA
data_KNaHo
_chemical_formula_sum 'K2 Na2 Ho2'
_space_group_name_H-M_alt 'P 4/n m m'
_space_group_IT_number 129
_cell_length_a 3.816
_cell_length_b 3.816
_cell_length_c 17.465
_cell_angle_alpha 90.00
_cell_angle_beta 90.00
_cell_angle_gamma 90.00
loop_
_space_group_symop_operation_xyz
'x,y,z'
'-x,-y,-z'
'-y+1/2,x,z'
'y+1/2,-x,-z'
'-x+1/2,-y+1/2,z'
'x+1/2,y+1/2,-z'
'y,-x+1/2,z'
'-y,x+1/2,-z'
'x+1/2,-y,-z'
'-x+1/2,y,z'
'-y,-x,-z'
'y,x,z'
'-x,y+1/2,-z'
'x,-y+1/2,z'
'y+1/2,x+1/2,-z'
'-y+1/2,-x+1/2,z'
loop_
_atom_site_label
_atom_site_fract_x
_atom_site_fract_y
_atom_site_fract_z
_atom_site_occupancy
K1 0.250 0.250 0.111 1
Na1 0.250 0.250 0.705 1
Ho1 0.250 0.250 0.439 1
# * calculated density: 2.965 Mg/m³
# * calculated formation energy: 158 meV per atom

(11)
# LiCaBi, relaxed, DFT PBE-GGA
data_LiCaBi
_chemical_formula_sum 'Li2 Ca2 Bi2'
_space_group_name_H-M_alt 'I 4 m m'
_space_group_IT_number 107
_space_group_name_Hall 'I 4 -2'
_cell_length_a 4.372
_cell_length_b 4.372
_cell_length_c 8.968
_cell_angle_alpha 90.00
_cell_angle_beta 90.00
_cell_angle_gamma 90.00
loop_
_atom_site_label
_atom_site_fract_x
_atom_site_fract_y
_atom_site_fract_z
_atom_site_occupancy
Li1 0.000 0.000 0.000 1
Ca1 0.000 0.000 0.675 1
Bi1 0.000 0.000 0.322 1
# * calculated density: 4.960 Mg/m³
# * calculated formation energy: -510 meV per atom

(12)
# TcAsPd2, relaxed, DFT PBE-GGA
data_TcAsPd2
_chemical_formula_sum 'Tc4 As4 Pd8'
_space_group_name_H-M_alt 'F m -3 m'
_space_group_IT_number 225
_space_group_name_Hall '-F 4 2 3'
_cell_length_a 6.367
_cell_length_b 6.367
_cell_length_c 6.367
_cell_angle_alpha 90.00
_cell_angle_beta 90.00
_cell_angle_gamma 90.00
loop_
_atom_site_label
_atom_site_fract_x
_atom_site_fract_y
_atom_site_fract_z
_atom_site_occupancy
Tc1 0.000 0.000 0.000 1
As1 0.000 0.000 0.500 1
Pd1 0.250 0.250 0.250 1
# * distance to the lowest polymorph of the same formula: 10.8 meV per atom
# * calculated density: 9.926 Mg/m³
# * calculated formation energy: 261 meV per atom